[1]
A plane-wave DFT calculation with PBE was carried out for an optimized crystal structure of CsHfF2.

Cell and atoms, written as POSCAR:
```
CsHfF2
1.0
3.740 0.000 0.000
-1.870 3.239 0.000
0.000 0.000 23.555
Cs Hf F
3 3 6
direct
0.000 0.000 0.000
0.333 0.667 0.667
0.667 0.333 0.333
0.000 0.000 0.500
0.333 0.667 0.167
0.667 0.333 0.833
0.000 0.000 0.414
0.000 0.000 0.586
0.333 0.667 0.081
0.333 0.667 0.252
0.667 0.333 0.748
0.667 0.333 0.919
```

Properties
The raw total energy is -5.768 eV/atom. The value obtained for the calculated density is 6.099 g/cm³. The uncorrected formation energy is -2.130 eV/atom. The excess energy over the best structure of this formula in the dataset comes out at 0.000 eV per atom. The calculation puts the density of states at the Fermi level at 0.817 states/eV/atom.

[2]
A plane-wave DFT calculation with PBE was carried out for an optimized crystal structure of CsHf2F.

Cell and atoms, written as POSCAR:
```
CsHf2F
1.0
7.068 0.000 0.000
0.000 7.068 0.000
0.000 0.000 7.068
Cs Hf F
4 8 4
direct
0.000 0.000 0.000
0.000 0.500 0.500
0.500 0.000 0.500
0.500 0.500 0.000
0.250 0.250 0.250
0.250 0.250 0.750
0.250 0.750 0.250
0.250 0.750 0.750
0.750 0.250 0.250
0.750 0.250 0.750
0.750 0.750 0.250
0.750 0.750 0.750
0.000 0.000 0.500
0.000 0.500 0.000
0.500 0.000 0.000
0.500 0.500 0.500
```

Properties
The raw total energy is -4.678 eV/atom. The value obtained for the calculated density is 9.571 g/cm³. The uncorrected formation energy is 0.980 eV/atom. The calculation puts the density of states at the Fermi level at 0.472 states/eV/atom.

[3]
A plane-wave DFT calculation with PBE was carried out for an optimized crystal structure of CsHfF2.

Cell and atoms, written as POSCAR:
```
CsHfF2
1.0
6.815 0.000 0.000
0.000 6.815 0.000
0.000 0.000 6.815
Cs Hf F
4 4 8
direct
0.000 0.000 0.000
0.000 0.500 0.500
0.500 0.000 0.500
0.500 0.500 0.000
0.000 0.000 0.500
0.000 0.500 0.000
0.500 0.000 0.000
0.500 0.500 0.500
0.250 0.250 0.250
0.250 0.250 0.750
0.250 0.750 0.250
0.250 0.750 0.750
0.750 0.250 0.250
0.750 0.250 0.750
0.750 0.750 0.250
0.750 0.750 0.750
```

Properties
The raw total energy is -4.349 eV/atom. The value obtained for the calculated density is 7.333 g/cm³. The uncorrected formation energy is -0.711 eV/atom. The excess energy over the best structure of this formula in the dataset comes out at 1.419 eV per atom. The calculation puts the density of states at the Fermi level at 1.148 states/eV/atom.

[4]
A plane-wave DFT calculation with PBE was carried out for an optimized crystal structure of Cs3HfF.

Cell and atoms, written as POSCAR:
```
Cs3HfF
1.0
6.078 0.000 0.000
0.000 6.078 0.000
0.000 0.000 6.078
Cs Hf F
3 1 1
direct
0.000 0.000 0.500
0.000 0.500 0.000
0.500 0.000 0.000
0.500 0.500 0.500
0.000 0.000 0.000
```

Properties
The raw total energy is -3.007 eV/atom. The value obtained for the calculated density is 4.409 g/cm³. The uncorrected formation energy is -0.130 eV/atom. The calculation puts the density of states at the Fermi level at 1.523 states/eV/atom.

[5]
A plane-wave DFT calculation with PBE was carried out for an optimized crystal structure of Cs3HfF8.

Cell and atoms, written as POSCAR:
```
Cs3HfF8
1.0
-3.599 3.599 4.863
3.599 -3.599 4.863
3.599 3.599 -4.863
Cs Hf F
3 1 8
direct
0.000 0.000 0.000
0.250 0.750 0.500
0.750 0.250 0.500
0.500 0.500 0.000
0.200 0.430 0.000
0.251 0.251 0.602
0.352 0.749 0.000
0.430 0.200 0.000
0.570 0.570 0.770
0.648 0.648 0.398
0.749 0.352 0.000
0.800 0.800 0.230
```

Properties
The raw total energy is -5.335 eV/atom. The value obtained for the calculated density is 4.806 g/cm³. The uncorrected formation energy is -3.044 eV/atom. The calculation puts the density of states at the Fermi level at 0.536 states/eV/atom.

[6]
A plane-wave DFT calculation with PBE was carried out for an optimized crystal structure of Cs2HfF.

Cell and atoms, written as POSCAR:
```
Cs2HfF
1.0
8.667 0.000 0.000
0.000 8.667 0.000
0.000 0.000 10.149
Cs Hf F
8 4 4
direct
0.135 0.750 0.125
0.250 0.135 0.875
0.250 0.365 0.375
0.365 0.750 0.625
0.635 0.250 0.625
0.750 0.635 0.375
0.750 0.865 0.875
0.865 0.250 0.125
0.000 0.000 0.500
0.000 0.500 0.750
0.500 0.000 0.250
0.500 0.500 0.000
0.000 0.000 0.000
0.000 0.500 0.250
0.500 0.000 0.750
0.500 0.500 0.500
```

Properties
The raw total energy is -3.441 eV/atom. The value obtained for the calculated density is 4.036 g/cm³. The uncorrected formation energy is -0.058 eV/atom. The excess energy over the best structure of this formula in the dataset comes out at 0.000 eV per atom. The calculation puts the density of states at the Fermi level at 0.849 states/eV/atom.

- Look up the raw total energy of the first one.
  -5.768 eV/atom

- What is the formula in the fifth record?
  Cs3HfF8